(1)
## SiW3Au (GGA-PBE)

Data for a relaxed SiW3Au crystal.

The space group is Pm-3m (No. 221) and the conventional cell measures 4.841, 4.841 and 4.841 Å, with angles of 90.00, 90.00 and 90.00 degrees. The inequivalent atoms are Si at (0.000, 0.000, 0.000), W at (0.000, 0.500, 0.500) and Au at (0.500, 0.500, 0.500).

The value obtained for the formation energy without anion corrections is 2.8414 eV per atom.

=====

(2)
## Si3WAu (GGA-PBE)

Data for a relaxed Si3WAu crystal.

The space group is Pm-3m (No. 221) and the conventional cell measures 4.756, 4.756 and 4.756 Å, with angles of 90.00, 90.00 and 90.00 degrees. The inequivalent atoms are Si at (0.000, 0.000, 0.500), W at (0.000, 0.000, 0.000) and Au at (0.500, 0.500, 0.500).

The value obtained for the formation energy without anion corrections is 0.6980 eV per atom.

=====

(3)
## Si2WAu (GGA-PBE)

Data for a relaxed Si2WAu crystal.

The space group is Fm-3m (No. 225) and the conventional cell measures 6.245, 6.245 and 6.245 Å, with angles of 90.00, 90.00 and 90.00 degrees. The inequivalent atoms are Si at (0.250, 0.250, 0.250), W at (0.000, 0.000, 0.000) and Au at (0.000, 0.000, 0.500).

The value obtained for the formation energy without anion corrections is 0.4351 eV per atom.

=====

(4)
## SiW2Au (GGA-PBE)

Data for a relaxed SiW2Au crystal.

The space group is P4mm (No. 99) and the conventional cell measures 3.364, 3.364 and 5.674 Å, with angles of 90.00, 90.00 and 90.00 degrees. The inequivalent atoms are Si at (0.000, 0.000, 0.000), W at (0.000, 0.000, 0.480), W at (0.500, 0.500, 0.261) and Au at (0.500, 0.500, 0.770).

The value obtained for the formation energy without anion corrections is 0.2920 eV per atom.

=====

(5)
## SiWAu2 (GGA-PBE)

Data for a relaxed SiWAu2 crystal.

The space group is F-43m (No. 216) and the conventional cell measures 6.402, 6.402 and 6.402 Å, with angles of 90.00, 90.00 and 90.00 degrees. The inequivalent atoms are Si at (0.000, 0.000, 0.000), W at (0.250, 0.250, 0.750), Au at (0.000, 0.000, 0.500) and Au at (0.250, 0.250, 0.250).

The value obtained for the formation energy without anion corrections is 0.4916 eV per atom.

=====

(6)
## SiW2Au (GGA-PBE)

Data for a relaxed SiW2Au crystal.

The space group is Pm (No. 6) and the conventional cell measures 2.815, 4.268 and 5.358 Å, with angles of 90.00, 101.51 and 90.00 degrees. The inequivalent atoms are Si at (0.000, 0.000, 0.000), W at (0.306, 0.000, 0.483), W at (0.562, 0.500, 0.230) and Au at (0.900, 0.500, 0.749).

The value obtained for the formation energy without anion corrections is 0.2374 eV per atom.

=====

(7)
## Si2WAu (GGA-PBE)

Data for a relaxed Si2WAu crystal.

The space group is I4/mmm (No. 139) and the conventional cell measures 3.988, 3.988 and 7.678 Å, with angles of 90.00, 90.00 and 90.00 degrees. The inequivalent atoms are Si at (0.000, 0.500, 0.250), W at (0.000, 0.000, 0.000) and Au at (0.000, 0.000, 0.500).

The value obtained for the formation energy without anion corrections is 0.3473 eV per atom.

=====

(8)
## SiW2Au (GGA-PBE)

Data for a relaxed SiW2Au crystal.

The space group is Immm (No. 71) and the conventional cell measures 3.177, 4.517 and 8.813 Å, with angles of 90.00, 90.00 and 90.00 degrees. The inequivalent atoms are Si at (0.000, 0.000, 0.000), W at (0.000, 0.500, 0.276) and Au at (0.000, 0.000, 0.500).

The value obtained for the formation energy without anion corrections is 0.3050 eV per atom.

=====

(9)
## SiW2Au (GGA-PBE)

Data for a relaxed SiW2Au crystal.

The space group is Cmmm (No. 65) and the conventional cell measures 3.408, 4.367 and 8.443 Å, with angles of 90.00, 90.00 and 90.00 degrees. The inequivalent atoms are Si at (0.000, 0.000, 0.000), W at (0.000, 0.500, 0.226) and Au at (0.000, 0.000, 0.500).

The value obtained for the formation energy without anion corrections is 0.3268 eV per atom.

=====

(10)
## SiW2Au (GGA-PBE)

Data for a relaxed SiW2Au crystal.

The space group is Cm (No. 8) and the conventional cell measures 9.463, 2.769 and 4.856 Å, with angles of 90.00, 95.22 and 90.00 degrees. The inequivalent atoms are Si at (0.000, 0.000, 0.000), W at (0.011, 0.500, 0.510), W at (0.258, 0.000, 0.759) and Au at (0.267, 0.500, 0.258).

The value obtained for the formation energy without anion corrections is 0.3491 eV per atom.

=====

(11)
## SiW4Au (GGA-PBE)

Data for a relaxed SiW4Au crystal.

The space group is F-43m (No. 216) and the conventional cell measures 7.469, 7.469 and 7.469 Å, with angles of 90.00, 90.00 and 90.00 degrees. The inequivalent atoms are Si at (0.000, 0.000, 0.000), W at (0.124, 0.124, 0.624) and Au at (0.250, 0.250, 0.250).

The value obtained for the formation energy without anion corrections is 0.8062 eV per atom.

=====

(12)
## SiW2Au (GGA-PBE)

Data for a relaxed SiW2Au crystal.

The space group is I-4m2 (No. 119) and the conventional cell measures 3.988, 3.988 and 7.916 Å, with angles of 90.00, 90.00 and 90.00 degrees. The inequivalent atoms are Si at (0.000, 0.000, 0.000), W at (0.000, 0.000, 0.500), W at (0.000, 0.500, 0.750) and Au at (0.000, 0.500, 0.250).

The value obtained for the formation energy without anion corrections is 0.3893 eV per atom.

=====

(13)
## Si2WAu (GGA-PBE)

Data for a relaxed Si2WAu crystal.

The space group is Imm2 (No. 44) and the conventional cell measures 3.367, 3.631 and 10.421 Å, with angles of 90.00, 90.00 and 90.00 degrees. The inequivalent atoms are Si at (0.000, 0.000, 0.000), Si at (0.000, 0.500, 0.248), W at (0.000, 0.500, 0.677) and Au at (0.000, 0.000, 0.435).

The value obtained for the formation energy without anion corrections is 0.2370 eV per atom.

=====

(14)
## Si2WAu (GGA-PBE)

Data for a relaxed Si2WAu crystal.

The space group is R-3m (No. 166, hexagonal axes) and the conventional cell measures 2.9502, 2.9502 and 24.9223 Å, with angles of 90.00, 90.00 and 120.00 degrees. The inequivalent atoms are Si at (0.0000, 0.0000, 0.2460), W at (0.0000, 0.0000, 0.5000) and Au at (0.0000, 0.0000, 0.0000).

The value obtained for the formation energy without anion corrections is 0.1928 eV per atom.

=====

(15)
## SiWAu3 (GGA-PBE)

Data for a relaxed SiWAu3 crystal.

The space group is Pm-3m (No. 221) and the conventional cell measures 4.619, 4.619 and 4.619 Å, with angles of 90.00, 90.00 and 90.00 degrees. The inequivalent atoms are Si at (0.000, 0.000, 0.000), W at (0.500, 0.500, 0.500) and Au at (0.000, 0.000, 0.500).

The value obtained for the formation energy without anion corrections is 1.1806 eV per atom.

=====

(16)
## SiW2Au (GGA-PBE)

Data for a relaxed SiW2Au crystal.

The space group is I4/mmm (No. 139) and the conventional cell measures 3.908, 3.908 and 8.242 Å, with angles of 90.00, 90.00 and 90.00 degrees. The inequivalent atoms are Si at (0.000, 0.000, 0.000), W at (0.000, 0.500, 0.250) and Au at (0.000, 0.000, 0.500).

The value obtained for the formation energy without anion corrections is 0.4700 eV per atom.

=====

(17)
## Si2WAu (GGA-PBE)

Data for a relaxed Si2WAu crystal.

The space group is F-43m (No. 216) and the conventional cell measures 6.342, 6.342 and 6.342 Å, with angles of 90.00, 90.00 and 90.00 degrees. The inequivalent atoms are Si at (0.000, 0.000, 0.000), Si at (0.250, 0.250, 0.250), W at (0.000, 0.000, 0.500) and Au at (0.250, 0.250, 0.750).

The value obtained for the formation energy without anion corrections is 0.7118 eV per atom.

=====

(18)
## SiWAu2 (GGA-PBE)

Data for a relaxed SiWAu2 crystal.

The space group is Cmmm (No. 65) and the conventional cell measures 5.345, 8.734 and 2.859 Å, with angles of 90.00, 90.00 and 90.00 degrees. The inequivalent atoms are Si at (0.000, 0.000, 0.000), W at (0.000, 0.500, 0.000) and Au at (0.250, 0.250, 0.500).

The value obtained for the formation energy without anion corrections is 0.3825 eV per atom.

=====

(19)
## Si2WAu (GGA-PBE)

Data for a relaxed Si2WAu crystal.

The space group is C2/m (No. 12) and the conventional cell measures 5.810, 8.578 and 2.857 Å, with angles of 90.00, 117.33 and 90.00 degrees. The inequivalent atoms are Si at (0.250, 0.250, 0.000), W at (0.000, 0.000, 0.000) and Au at (0.000, 0.500, 0.000).

The value obtained for the formation energy without anion corrections is 0.3597 eV per atom.

=====

(20)
## SiW2Au (GGA-PBE)

Data for a relaxed SiW2Au crystal.

The space group is C2/m (No. 12) and the conventional cell measures 5.386, 8.375 and 2.781 Å, with angles of 90.00, 91.08 and 90.00 degrees. The inequivalent atoms are Si at (0.000, 0.000, 0.000), W at (0.250, 0.250, 0.500) and Au at (0.000, 0.500, 0.000).

The value obtained for the formation energy without anion corrections is 0.3785 eV per atom.

=====

(21)
## SiWAu2 (GGA-PBE)

Data for a relaxed SiWAu2 crystal.

The space group is Cmm2 (No. 35) and the conventional cell measures 3.400, 4.482 and 8.675 Å, with angles of 90.00, 90.00 and 90.00 degrees. The inequivalent atoms are Si at (0.000, 0.000, 0.000), W at (0.000, 0.500, 0.782), Au at (0.000, 0.000, 0.521) and Au at (0.000, 0.500, 0.241).

The value obtained for the formation energy without anion corrections is 0.2586 eV per atom.

=====

(22)
## Si2WAu (GGA-PBE)

Data for a relaxed Si2WAu crystal.

The space group is P4mm (No. 99) and the conventional cell measures 3.381, 3.381 and 5.359 Å, with angles of 90.00, 90.00 and 90.00 degrees. The inequivalent atoms are Si at (0.000, 0.000, 0.000), Si at (0.500, 0.500, 0.290), W at (0.000, 0.000, 0.468) and Au at (0.500, 0.500, 0.810).

The value obtained for the formation energy without anion corrections is 0.0886 eV per atom.

=====

(23)
## Si3WAu (GGA-PBE)

Data for a relaxed Si3WAu crystal.

The space group is Pm-3m (No. 221) and the conventional cell measures 4.747, 4.747 and 4.747 Å, with angles of 90.00, 90.00 and 90.00 degrees. The inequivalent atoms are Si at (0.000, 0.000, 0.500), W at (0.500, 0.500, 0.500) and Au at (0.000, 0.000, 0.000).

The value obtained for the formation energy without anion corrections is 1.7192 eV per atom.

=====

(24)
## Si2WAu (GGA-PBE)

Data for a relaxed Si2WAu crystal.

The space group is C2/m (No. 12) and the conventional cell measures 8.389, 3.103 and 5.021 Å, with angles of 90.00, 101.56 and 90.00 degrees. The inequivalent atoms are Si at (0.236, 0.000, 0.189), W at (0.000, 0.500, 0.000) and Au at (0.000, 0.000, 0.500).

The value obtained for the formation energy without anion corrections is 0.1787 eV per atom.

=====

(25)
## SiW2Au (GGA-PBE)

Data for a relaxed SiW2Au crystal.

The space group is Pmm2 (No. 25) and the conventional cell measures 2.769, 4.139 and 5.580 Å, with angles of 90.00, 90.00 and 90.00 degrees. The inequivalent atoms are Si at (0.000, 0.000, 0.000), W at (0.000, 0.000, 0.494), W at (0.500, 0.500, 0.247) and Au at (0.500, 0.500, 0.747).

The value obtained for the formation energy without anion corrections is 0.4224 eV per atom.

=====

(26)
## SiWAu2 (GGA-PBE)

Data for a relaxed SiWAu2 crystal.

The space group is R3m (No. 160, hexagonal axes) and the conventional cell measures 2.9072, 2.9072 and 26.8804 Å, with angles of 90.00, 90.00 and 120.00 degrees. The inequivalent atoms are Si at (0.0000, 0.0000, 0.0000), W at (0.0000, 0.0000, 0.2572), Au at (0.0000, 0.0000, 0.5042) and Au at (0.0000, 0.0000, 0.7440).

The value obtained for the formation energy without anion corrections is 0.2117 eV per atom.

=====

(27)
## SiW2Au (GGA-PBE)

Data for a relaxed SiW2Au crystal.

The space group is R3m (No. 160, hexagonal axes) and the conventional cell measures 2.8476, 2.8476 and 27.3595 Å, with angles of 90.00, 90.00 and 120.00 degrees. The inequivalent atoms are Si at (0.0000, 0.0000, 0.0000), W at (0.0000, 0.0000, 0.4964), W at (0.0000, 0.0000, 0.7429) and Au at (0.0000, 0.0000, 0.2520).

The value obtained for the formation energy without anion corrections is 0.3157 eV per atom.

=====

(28)
## SiW2Au (GGA-PBE)

Data for a relaxed SiW2Au crystal.

The space group is Pmmm (No. 47) and the conventional cell measures 3.318, 4.320 and 4.418 Å, with angles of 90.00, 90.00 and 90.00 degrees. The inequivalent atoms are Si at (0.000, 0.000, 0.000), W at (0.000, 0.500, 0.500), W at (0.500, 0.000, 0.500) and Au at (0.500, 0.500, 0.000).

The value obtained for the formation energy without anion corrections is 0.4233 eV per atom.

=====

(29)
## Si2WAu (GGA-PBE)

Data for a relaxed Si2WAu crystal.

The space group is I-42d (No. 122) and the conventional cell measures 6.042, 6.042 and 9.299 Å, with angles of 90.00, 90.00 and 90.00 degrees. The inequivalent atoms are Si at (0.246, 0.250, 0.125), W at (0.000, 0.000, 0.000) and Au at (0.000, 0.000, 0.500).

The value obtained for the formation energy without anion corrections is 0.7588 eV per atom.

=====

(30)
## Si2WAu (GGA-PBE)

Data for a relaxed Si2WAu crystal.

The space group is Cmm2 (No. 35) and the conventional cell measures 3.629, 4.200 and 8.223 Å, with angles of 90.00, 90.00 and 90.00 degrees. The inequivalent atoms are Si at (0.000, 0.000, 0.000), Si at (0.000, 0.500, 0.240), W at (0.000, 0.500, 0.767) and Au at (0.000, 0.000, 0.497).

The value obtained for the formation energy without anion corrections is 0.3919 eV per atom.